Entry 1:
! PBEsol NaLaMo3, relaxed; values from VASP
&SYSTEM
  ibrav = 0, nat = 5, ntyp = 3
/
ATOMIC_SPECIES
Na 22.99 Na.upf
La 138.91 La.upf
Mo 95.94 Mo.upf
CELL_PARAMETERS angstrom
4.7786 0.0000 0.0000
0.0000 4.7786 0.0000
0.0000 0.0000 4.7786
ATOMIC_POSITIONS crystal
Na 0.0000 0.0000 0.0000
La 0.5000 0.5000 0.5000
Mo 0.0000 0.5000 0.5000
Mo 0.5000 0.0000 0.5000
Mo 0.5000 0.5000 0.0000
! - Formation enthalpy at 0 K: 1062.1 kJ/mol of formula units
! - Symmetry: Pm-3m
! - Crystal system: cubic

Entry 2:
! PBEsol NaAlS3, relaxed; values from VASP
&SYSTEM
  ibrav = 0, nat = 5, ntyp = 3
/
ATOMIC_SPECIES
Na 22.99 Na.upf
Al 26.98 Al.upf
S 32.06 S.upf
CELL_PARAMETERS angstrom
4.8674 0.0000 0.0000
0.0000 4.8674 0.0000
0.0000 0.0000 4.8674
ATOMIC_POSITIONS crystal
Na 0.0000 0.0000 0.0000
Al 0.5000 0.5000 0.5000
S 0.0000 0.0000 0.5000
S 0.0000 0.5000 0.0000
S 0.5000 0.0000 0.0000
! - Symmetry: Pm-3m
! - Uncorrected formation energy: 0.837 eV per atom
! - Crystal system: cubic

Entry 3:
! PBEsol Ca2ZnF, relaxed; values from VASP
&SYSTEM
  ibrav = 0, nat = 4, ntyp = 3
/
ATOMIC_SPECIES
Ca 40.08 Ca.upf
Zn 65.41 Zn.upf
F 19.00 F.upf
CELL_PARAMETERS angstrom
0.0000 3.5522 3.5522
3.5522 0.0000 3.5522
3.5522 3.5522 0.0000
ATOMIC_POSITIONS crystal
Ca 0.2500 0.2500 0.2500
Ca 0.7500 0.7500 0.7500
Zn 0.0000 0.0000 0.0000
F 0.5000 0.5000 0.5000
! - Symmetry: Fm-3m
! - Uncorrected formation energy: -0.923 eV per atom
! - Crystal system: cubic

Entry 4:
! PBEsol PmNi2Sn, relaxed; values from VASP
&SYSTEM
  ibrav = 0, nat = 4, ntyp = 3
/
ATOMIC_SPECIES
Pm 145.00 Pm.upf
Ni 58.69 Ni.upf
Sn 118.71 Sn.upf
CELL_PARAMETERS angstrom
0.0000 3.2433 3.2433
3.2433 0.0000 3.2433
3.2433 3.2433 0.0000
ATOMIC_POSITIONS crystal
Pm 0.0000 0.0000 0.0000
Ni 0.2500 0.2500 0.2500
Ni 0.7500 0.7500 0.7500
Sn 0.5000 0.5000 0.5000
! - Formation enthalpy at 0 K: -162.4 kJ/mol of formula units
! - Symmetry: Fm-3m
! - Crystal system: cubic

Number 1: D(E_F) 7.54 states/eV/f.u., VASP energy -6.2083 eV/atom. Number 2: D(E_F) 4.71 states/eV/f.u., VASP energy -2.8922 eV/atom. Number 3: D(E_F) 3.49 states/eV/f.u., VASP energy -2.8667 eV/atom. Number 4: D(E_F) 3.50 states/eV/f.u., VASP energy -5.8485 eV/atom.